Entry 1:
# PBE-GGA NaCdRh2, optimized geometry
data_NaCdRh2
_chemical_formula_sum 'Na4 Cd4 Rh8'
_cell_length_a 7.5414
_cell_length_b 7.5414
_cell_length_c 5.3186
_cell_angle_alpha 90.00
_cell_angle_beta 90.00
_cell_angle_gamma 90.00
_space_group_name_H-M_alt 'I -4 2 d'
_space_group_IT_number 122
_space_group_name_Hall 'I -4 2bw'
loop_
_atom_site_label
_atom_site_type_symbol
_atom_site_fract_x
_atom_site_fract_y
_atom_site_fract_z
_atom_site_occupancy
Na1 Na 0.0000 0.0000 0.0000 1
Cd1 Cd 0.0000 0.0000 0.5000 1
Rh1 Rh 0.2353 0.2500 0.6250 1
# Final energy = -59.09 eV per cell
# DFT formation energy = 541 meV/atom
# Total magnetization = 0.29 μB/atom

---

Entry 2:
# PBE-GGA NaCd3Rh, optimized geometry
data_NaCd3Rh
_chemical_formula_sum 'Na1 Cd3 Rh1'
_cell_length_a 5.0169
_cell_length_b 5.0169
_cell_length_c 5.0169
_cell_angle_alpha 90.00
_cell_angle_beta 90.00
_cell_angle_gamma 90.00
_space_group_name_H-M_alt 'P m -3 m'
_space_group_IT_number 221
_space_group_name_Hall '-P 4 2 3'
loop_
_atom_site_label
_atom_site_type_symbol
_atom_site_fract_x
_atom_site_fract_y
_atom_site_fract_z
_atom_site_occupancy
Na1 Na 0.0000 0.0000 0.0000 1
Cd1 Cd 0.0000 0.0000 0.5000 1
Rh1 Rh 0.5000 0.5000 0.5000 1
# Final energy = -6.10 eV per cell
# Energy relative to the lowest polymorph listed for this composition = 1123.0 meV/atom
# DFT formation energy = 1063 meV/atom
# Total magnetization = 0.16 μB/atom

---

Entry 3:
# PBE-GGA NaCd2Rh, optimized geometry
data_NaCd2Rh
_chemical_formula_sum 'Na2 Cd4 Rh2'
_cell_length_a 4.7908
_cell_length_b 3.1565
_cell_length_c 10.8962
_cell_angle_alpha 90.00
_cell_angle_beta 90.00
_cell_angle_gamma 90.00
_space_group_name_H-M_alt 'P m m a'
_space_group_IT_number 51
_space_group_name_Hall '-P 2a 2a'
loop_
_atom_site_label
_atom_site_type_symbol
_atom_site_fract_x
_atom_site_fract_y
_atom_site_fract_z
_atom_site_occupancy
Na1 Na 0.2500 0.0000 0.0912 1
Cd1 Cd 0.2500 0.5000 0.3834 1
Cd2 Cd 0.2500 0.5000 0.8007 1
Rh1 Rh 0.2500 0.0000 0.5950 1
# Final energy = -21.54 eV per cell
# DFT formation energy = -67 meV/atom
# Total magnetization = 0.00 μB/atom

---

Entry 4:
# PBE-GGA NaCd2Rh, optimized geometry
data_NaCd2Rh
_chemical_formula_sum 'Na3 Cd6 Rh3'
_cell_length_a 4.6739
_cell_length_b 4.6739
_cell_length_c 14.8813
_cell_angle_alpha 90.00
_cell_angle_beta 90.00
_cell_angle_gamma 120.00
_space_group_name_H-M_alt 'R 3 m'
_space_group_IT_number 160
_space_group_name_Hall 'R 3 -2"'
loop_
_atom_site_label
_atom_site_type_symbol
_atom_site_fract_x
_atom_site_fract_y
_atom_site_fract_z
_atom_site_occupancy
Na1 Na 0.0000 0.0000 0.0000 1
Cd1 Cd 0.0000 0.0000 0.2062 1
Cd2 Cd 0.0000 0.0000 0.4587 1
Rh1 Rh 0.0000 0.0000 0.8071 1
# Final energy = -30.93 eV per cell
# DFT formation energy = 47 meV/atom
# Total magnetization = 0.00 μB/atom

---

Entry 5:
# PBE-GGA NaCd2Rh, optimized geometry
data_NaCd2Rh
_chemical_formula_sum 'Na1 Cd2 Rh1'
_cell_length_a 3.2380
_cell_length_b 3.2380
_cell_length_c 7.8704
_cell_angle_alpha 90.00
_cell_angle_beta 90.00
_cell_angle_gamma 90.00
_space_group_name_H-M_alt 'P 4/m m m'
_space_group_IT_number 123
_space_group_name_Hall '-P 4 2'
loop_
_atom_site_label
_atom_site_type_symbol
_atom_site_fract_x
_atom_site_fract_y
_atom_site_fract_z
_atom_site_occupancy
Na1 Na 0.0000 0.0000 0.0000 1
Cd1 Cd 0.5000 0.5000 0.2947 1
Rh1 Rh 0.0000 0.0000 0.5000 1
# Final energy = -10.84 eV per cell
# DFT formation energy = -85 meV/atom
# Total magnetization = 0.00 μB/atom

---

Entry 6:
# PBE-GGA Na2CdRuRh, optimized geometry
data_Na2CdRuRh
_chemical_formula_sum 'Na2 Cd1 Ru1 Rh1'
_cell_length_a 5.5093
_cell_length_b 5.5093
_cell_length_c 4.5528
_cell_angle_alpha 90.00
_cell_angle_beta 90.00
_cell_angle_gamma 90.00
_space_group_name_H-M_alt 'P 4/m m m'
_space_group_IT_number 123
_space_group_name_Hall '-P 4 2'
loop_
_atom_site_label
_atom_site_type_symbol
_atom_site_fract_x
_atom_site_fract_y
_atom_site_fract_z
_atom_site_occupancy
Na1 Na 0.0000 0.5000 0.0000 1
Cd1 Cd 0.0000 0.0000 0.5000 1
Ru1 Ru 0.5000 0.5000 0.0000 1
Rh1 Rh 0.5000 0.5000 0.5000 1
# Final energy = -15.79 eV per cell
# DFT formation energy = 879 meV/atom
# Total magnetization = 0.09 μB/atom

---

Entry 7:
# PBE-GGA NaCd2SbRh, optimized geometry
data_NaCd2SbRh
_chemical_formula_sum 'Na1 Cd2 Sb1 Rh1'
_cell_length_a 5.2515
_cell_length_b 5.2515
_cell_length_c 4.9986
_cell_angle_alpha 90.00
_cell_angle_beta 90.00
_cell_angle_gamma 90.00
_space_group_name_H-M_alt 'P 4/m m m'
_space_group_IT_number 123
_space_group_name_Hall '-P 4 2'
loop_
_atom_site_label
_atom_site_type_symbol
_atom_site_fract_x
_atom_site_fract_y
_atom_site_fract_z
_atom_site_occupancy
Na1 Na 0.0000 0.0000 0.0000 1
Cd1 Cd 0.0000 0.5000 0.5000 1
Sb1 Sb 0.5000 0.5000 0.0000 1
Rh1 Rh 0.5000 0.5000 0.5000 1
# Final energy = -15.13 eV per cell
# Formation energy (no corrections) = -9.75 kJ/mol of atoms
# Total magnetization = 0.00 μB/atom

---

Entry 8:
# PBE-GGA Na2CdSbRh, optimized geometry
data_Na2CdSbRh
_chemical_formula_sum 'Na2 Cd1 Sb1 Rh1'
_cell_length_a 5.2055
_cell_length_b 5.2055
_cell_length_c 5.0420
_cell_angle_alpha 90.00
_cell_angle_beta 90.00
_cell_angle_gamma 90.00
_space_group_name_H-M_alt 'P 4/m m m'
_space_group_IT_number 123
_space_group_name_Hall '-P 4 2'
loop_
_atom_site_label
_atom_site_type_symbol
_atom_site_fract_x
_atom_site_fract_y
_atom_site_fract_z
_atom_site_occupancy
Na1 Na 0.0000 0.5000 0.0000 1
Cd1 Cd 0.0000 0.0000 0.0000 1
Sb1 Sb 0.5000 0.5000 0.5000 1
Rh1 Rh 0.0000 0.0000 0.5000 1
# Final energy = -12.45 eV per cell
# Formation energy (no corrections) = 49.78 kJ/mol of atoms
# Total magnetization = 0.00 μB/atom

---

Entry 9:
# PBE-GGA Na3Cd2Sb4Rh2, optimized geometry
data_Na3Cd2Sb4Rh2
_chemical_formula_sum 'Na3 Cd2 Sb4 Rh2'
_cell_length_a 4.5739
_cell_length_b 4.5739
_cell_length_c 16.1490
_cell_angle_alpha 90.00
_cell_angle_beta 90.00
_cell_angle_gamma 120.00
_space_group_name_H-M_alt 'P -3 m 1'
_space_group_IT_number 164
_space_group_name_Hall '-P 3 2"'
loop_
_atom_site_label
_atom_site_type_symbol
_atom_site_fract_x
_atom_site_fract_y
_atom_site_fract_z
_atom_site_occupancy
Na1 Na 0.0000 0.0000 0.0000 1
Na2 Na 0.0000 0.0000 0.2922 1
Cd1 Cd 0.3333 0.6667 0.1744 1
Sb1 Sb 0.3333 0.6667 0.4053 1
Sb2 Sb 0.3333 0.6667 0.8697 1
Rh1 Rh 0.3333 0.6667 0.5630 1
# Final energy = -39.37 eV per cell
# Formation energy (no corrections) = -20.94 kJ/mol of atoms
# Total magnetization = 0.00 μB/atom

---

Entry 10:
# PBE-GGA NaCdSn2Rh, optimized geometry
data_NaCdSn2Rh
_chemical_formula_sum 'Na1 Cd1 Sn2 Rh1'
_cell_length_a 5.1249
_cell_length_b 5.1249
_cell_length_c 5.2792
_cell_angle_alpha 90.00
_cell_angle_beta 90.00
_cell_angle_gamma 90.00
_space_group_name_H-M_alt 'P 4/m m m'
_space_group_IT_number 123
_space_group_name_Hall '-P 4 2'
loop_
_atom_site_label
_atom_site_type_symbol
_atom_site_fract_x
_atom_site_fract_y
_atom_site_fract_z
_atom_site_occupancy
Na1 Na 0.0000 0.0000 0.0000 1
Cd1 Cd 0.5000 0.5000 0.0000 1
Sn1 Sn 0.0000 0.5000 0.5000 1
Rh1 Rh 0.5000 0.5000 0.5000 1
# Final energy = -18.14 eV per cell
# DFT formation energy = -110 meV/atom
# Total magnetization = 0.00 μB/atom

---

Entry 11:
# PBE-GGA NaCdSnRh2, optimized geometry
data_NaCdSnRh2
_chemical_formula_sum 'Na1 Cd1 Sn1 Rh2'
_cell_length_a 4.6870
_cell_length_b 4.6870
_cell_length_c 4.9010
_cell_angle_alpha 90.00
_cell_angle_beta 90.00
_cell_angle_gamma 90.00
_space_group_name_H-M_alt 'P 4/m m m'
_space_group_IT_number 123
_space_group_name_Hall '-P 4 2'
loop_
_atom_site_label
_atom_site_type_symbol
_atom_site_fract_x
_atom_site_fract_y
_atom_site_fract_z
_atom_site_occupancy
Na1 Na 0.0000 0.0000 0.0000 1
Cd1 Cd 0.5000 0.5000 0.5000 1
Sn1 Sn 0.0000 0.0000 0.5000 1
Rh1 Rh 0.0000 0.5000 0.0000 1
# Final energy = -15.27 eV per cell
# DFT formation energy = 1133 meV/atom
# Total magnetization = 0.00 μB/atom

---

Entry 12:
# PBE-GGA NaCd2SnRh, optimized geometry
data_NaCd2SnRh
_chemical_formula_sum 'Na1 Cd2 Sn1 Rh1'
_cell_length_a 5.2557
_cell_length_b 5.2557
_cell_length_c 5.0135
_cell_angle_alpha 90.00
_cell_angle_beta 90.00
_cell_angle_gamma 90.00
_space_group_name_H-M_alt 'P 4/m m m'
_space_group_IT_number 123
_space_group_name_Hall '-P 4 2'
loop_
_atom_site_label
_atom_site_type_symbol
_atom_site_fract_x
_atom_site_fract_y
_atom_site_fract_z
_atom_site_occupancy
Na1 Na 0.0000 0.0000 0.0000 1
Cd1 Cd 0.0000 0.5000 0.5000 1
Sn1 Sn 0.5000 0.5000 0.0000 1
Rh1 Rh 0.5000 0.5000 0.5000 1
# Final energy = -15.13 eV per cell
# DFT formation energy = -125 meV/atom
# Total magnetization = 0.00 μB/atom

---

Entry 13:
# PBE-GGA NaSrCd2Rh, optimized geometry
data_NaSrCd2Rh
_chemical_formula_sum 'Na1 Sr1 Cd2 Rh1'
_cell_length_a 5.2440
_cell_length_b 5.2440
_cell_length_c 5.2340
_cell_angle_alpha 90.00
_cell_angle_beta 90.00
_cell_angle_gamma 90.00
_space_group_name_H-M_alt 'P 4/m m m'
_space_group_IT_number 123
_space_group_name_Hall '-P 4 2'
loop_
_atom_site_label
_atom_site_type_symbol
_atom_site_fract_x
_atom_site_fract_y
_atom_site_fract_z
_atom_site_occupancy
Na1 Na 0.0000 0.0000 0.0000 1
Sr1 Sr 0.5000 0.5000 0.0000 1
Cd1 Cd 0.0000 0.5000 0.5000 1
Rh1 Rh 0.0000 0.0000 0.5000 1
# Final energy = -12.38 eV per cell
# Energy relative to the lowest polymorph listed for this composition = 53.0 meV/atom
# DFT formation energy = -39 meV/atom
# Total magnetization = 0.00 μB/atom

---

| no. | calculated density (g/cm³) |
| --- | --- |
| 1 | 7.49 |
| 2 | 6.09 |
| 3 | 7.07 |
| 4 | 6.21 |
| 5 | 7.06 |
| 6 | 4.35 |
| 7 | 5.69 |
| 8 | 4.66 |
| 9 | 5.60 |
| 10 | 5.70 |
| 11 | 7.09 |
| 12 | 5.63 |
| 13 | 5.06 |